# PBE-GGA CaHfRe2I, relaxed
# mass density	7641	kg/m3
# size of the total moment	3.4	μB per formula unit
# E_form (uncorrected)	1.649	eV per atom
# V	156.0	Å³ per cell
# N(E_F)	4.209	states/eV/f.u.
# total energy	-30.15	eV for the cell shown
data_CaHfRe2I
_chemical_formula_sum 'Ca1 Hf1 Re2 I1'
_symmetry_space_group_name_H-M 'P 4/m m m'
_symmetry_Int_Tables_number 123
_symmetry_space_group_name_Hall '-P 4 2'
_cell_length_a 4.889
_cell_length_b 4.889
_cell_length_c 6.527
_cell_angle_alpha 90.00
_cell_angle_beta 90.00
_cell_angle_gamma 90.00
loop_
_atom_site_label
_atom_site_type_symbol
_atom_site_fract_x
_atom_site_fract_y
_atom_site_fract_z
Ca1 Ca 0.000 0.000 0.000
Hf1 Hf 0.000 0.000 0.500
Re1 Re 0.000 0.500 0.500
I1 I 0.500 0.500 0.000